An optimized crystal structure of Ac4Sm6Tm. Source: Alexandria via LeMat-Bulk, functional PBE-GGA.

Output
Symmetry: I-42m
Volume, Å³/f.u.: 424.6
Fermi-level density of states, states/eV/f.u.: 16.31
DFT formation energy, meV per atom: 259

Cell: 9.750 9.750 9.750 Å, 62.31 137.08 137.08°
Fractional coordinates of all 11 atoms:
1 Ac 0.000 0.626 0.015
2 Ac 0.611 0.985 0.985
3 Ac 0.000 0.015 0.626
4 Ac 0.389 0.374 0.374
5 Sm 0.000 0.432 0.771
6 Sm 0.338 0.568 0.568
7 Sm 0.662 0.229 0.229
8 Sm 0.000 0.771 0.432
9 Sm 0.500 0.000 0.500
10 Sm 0.500 0.500 0.000
11 Tm 0.000 0.000 0.000